No. 1
# Ta4NiBiN2 (PBE, optimized geometry)
data_Ta4NiBiN2
_chemical_formula_sum 'Ta4 Ni1 Bi1 N2'
_cell_length_a 3.165
_cell_length_b 3.165
_cell_length_c 13.949
_cell_angle_alpha 90.00
_cell_angle_beta 90.00
_cell_angle_gamma 120.00
_space_group_name_H-M_alt 'P 1'
_space_group_IT_number 1
_space_group_name_Hall 'P 1'
loop_
_atom_site_label
_atom_site_type_symbol
_atom_site_fract_x
_atom_site_fract_y
_atom_site_fract_z
Ta1 Ta 0.000 0.000 0.138
Ta2 Ta 0.000 0.000 0.862
Ta3 Ta 0.333 0.667 0.307
Ta4 Ta 0.333 0.667 0.693
Ni1 Ni 0.333 0.667 0.000
Bi1 Bi 0.000 0.000 0.500
N1 N 0.667 0.333 0.223
N2 N 0.667 0.333 0.777
# **Total moment**: 0.09 μB/f.u.
# **Total energy**: -9.498 eV per atom



No. 2
# NiBiW4N2 (PBE, optimized geometry)
data_NiBiW4N2
_chemical_formula_sum 'Ni1 Bi1 W4 N2'
_cell_length_a 2.913
_cell_length_b 2.913
_cell_length_c 15.459
_cell_angle_alpha 90.00
_cell_angle_beta 90.00
_cell_angle_gamma 120.00
_space_group_name_H-M_alt 'P 1'
_space_group_IT_number 1
_space_group_name_Hall 'P 1'
loop_
_atom_site_label
_atom_site_type_symbol
_atom_site_fract_x
_atom_site_fract_y
_atom_site_fract_z
Ni1 Ni 0.000 0.000 0.000
Bi1 Bi 0.333 0.667 0.500
W1 W 0.000 0.000 0.314
W2 W 0.000 0.000 0.686
W3 W 0.333 0.667 0.135
W4 W 0.333 0.667 0.865
N1 N 0.667 0.333 0.226
N2 N 0.667 0.333 0.774
# **Total moment**: 0.00 μB/f.u.
# **Total energy**: -9.277 eV per atom



Q: The highest total energy belongs to which entry?
A: NiBiW4N2



Q: Which formula does entry 2 have?
A: NiBiW4N2



Q: The highest total moment belongs to which entry?
A: Ta4NiBiN2



Q: The lowest total moment belongs to which entry?
A: NiBiW4N2